Record 1
Lu4AuN3 | GGA-PBE | optimized geometry

Summary:
**Crystal system**: hexagonal
**DFT total energy**: -7.33 eV/atom

Cell lengths 3.369, 3.369, 25.304 Å; angles 90.00, 90.00, 120.00 degrees
Fractional coordinates of all 16 atoms:
1 Lu 0.667 0.333 0.947
2 Au 0.667 0.333 0.750
3 Lu 0.000 0.000 0.340
4 Lu 0.667 0.333 0.553
5 N 0.333 0.667 0.609
6 Lu 0.000 0.000 0.660
7 N 0.667 0.333 0.109
8 N 0.000 0.000 0.000
9 N 0.667 0.333 0.391
10 Lu 0.000 0.000 0.160
11 Au 0.333 0.667 0.250
12 Lu 0.333 0.667 0.447
13 Lu 0.000 0.000 0.840
14 Lu 0.333 0.667 0.053
15 N 0.333 0.667 0.891
16 N 0.000 0.000 0.500

Record 2
Lu2AuN | GGA-PBE | optimized geometry

Summary:
**Crystal system**: hexagonal
**DFT total energy**: -6.35 eV/atom

Cell lengths 3.412, 3.412, 14.282 Å; angles 90.00, 90.00, 120.00 degrees
Fractional coordinates of all 8 atoms:
1 Lu 0.667 0.333 0.906
2 Au 0.667 0.333 0.250
3 N 0.000 0.000 0.000
4 Au 0.333 0.667 0.750
5 Lu 0.333 0.667 0.094
6 N 0.000 0.000 0.500
7 Lu 0.667 0.333 0.594
8 Lu 0.333 0.667 0.406

Record 3
Lu3AuN6 | GGA-PBE | optimized geometry

Summary:
**Crystal system**: triclinic
**DFT total energy**: -7.30 eV/atom

Cell lengths 3.633, 5.601, 6.432 Å; angles 100.04, 99.31, 98.16 degrees
Last column: magnetic moment on the atom in μB.
Fractional coordinates of all 10 atoms:
1 N 0.249 0.262 0.296  0.05
2 Au 0.000 0.000 0.000  0.00
3 N 0.044 0.250 0.449  0.05
4 N 0.697 0.274 0.854  0.01
5 N 0.303 0.726 0.146  0.01
6 Lu 0.500 0.000 0.500  0.01
7 Lu 0.217 0.500 0.789  0.01
8 Lu 0.783 0.500 0.211  0.01
9 N 0.751 0.738 0.704  0.05
10 N 0.956 0.750 0.551  0.05

Record 4
Lu4Nb2Au3N3 | GGA-PBE | optimized geometry

Summary:
**Crystal system**: monoclinic
**DFT total energy**: -7.10 eV/atom

Cell lengths 5.774, 5.774, 14.351 Å; angles 101.59, 101.59, 60.33 degrees
Fractional coordinates of all 24 atoms:
1 Nb 0.642 0.476 0.428
2 N 0.837 0.331 0.000
3 Au 0.415 0.298 0.751
4 Au 0.585 0.702 0.249
5 N 0.500 0.000 0.000
6 Lu 0.302 0.127 0.401
7 N 0.331 0.837 0.500
8 Nb 0.524 0.358 0.072
9 Lu 0.127 0.302 0.901
10 Au 0.702 0.585 0.749
11 Au 0.126 0.874 0.750
12 Nb 0.358 0.524 0.572
13 N 0.000 0.500 0.500
14 Au 0.298 0.415 0.251
15 Lu 0.803 0.964 0.902
16 Lu 0.197 0.036 0.098
17 Lu 0.036 0.197 0.598
18 Lu 0.964 0.803 0.402
19 Lu 0.873 0.698 0.099
20 N 0.669 0.163 0.500
21 N 0.163 0.669 0.000
22 Au 0.874 0.126 0.250
23 Nb 0.476 0.642 0.928
24 Lu 0.698 0.873 0.599

Question: Which of these has the highest DFT total energy?
Answer: Lu2AuN